Compound: YPdIO2
Source: Alexandria via LeMat-Bulk
Functional: GGA-PBEsol
Structure: relaxed

abc: 4.137 4.137 6.508
angles: 90.00 90.00 90.00
Positions (direct):
Pd  0.500  0.500  0.500
O  0.000  0.500  0.000
I  0.000  0.000  0.500
Y  0.000  0.000  0.000
O  0.500  0.000  0.000

Uncorrected energy (eV for the cell shown): -29.963
Crystal system: tetragonal
Space-group type: P4/mmm (123)
Formation energy from raw total energies (eV per atom): -0.9834
Theoretical density (g cm⁻³): 5.3


Compound: PrIO
Source: Alexandria via LeMat-Bulk
Functional: GGA-PBEsol
Structure: relaxed

abc: 4.070 4.070 9.269
angles: 90.00 90.00 90.00
Positions (direct):
O  0.000  0.000  0.000
I  0.500  0.000  0.672
Pr  0.500  0.000  0.127
Pr  0.000  0.500  0.873
O  0.500  0.500  0.000
I  0.000  0.500  0.328

Uncorrected energy (eV for the cell shown): -40.503
Crystal system: tetragonal
Space-group type: P4/nmm (129)
Formation energy from raw total energies (eV per atom): -2.6836
Theoretical density (g cm⁻³): 6.1


Compound: PrI3O9
Source: Alexandria via LeMat-Bulk
Functional: GGA-PBEsol
Structure: relaxed

abc: 5.823 8.809 15.191
angles: 97.11 90.00 90.00
Positions (direct):
I  0.188  0.276  0.347
I  0.857  0.660  0.023
O  0.694  0.589  0.245
O  0.925  0.633  0.545
O  0.583  0.354  0.490
Pr  0.264  0.461  0.598
I  0.094  0.116  0.701
I  0.357  0.840  0.477
O  0.806  0.089  0.745
Pr  0.764  0.039  0.902
I  0.594  0.384  0.799
O  0.008  0.742  0.370
O  0.425  0.867  0.955
O  0.885  0.068  0.173
O  0.059  0.650  0.710
O  0.917  0.854  0.990
O  0.092  0.944  0.619
O  0.592  0.556  0.881
I  0.688  0.224  0.153
O  0.408  0.444  0.119
O  0.115  0.932  0.827
O  0.992  0.258  0.630
O  0.306  0.411  0.755
O  0.615  0.568  0.673
O  0.941  0.350  0.290
I  0.406  0.616  0.201
O  0.468  0.215  0.623
O  0.385  0.432  0.327
O  0.903  0.417  0.052
O  0.097  0.583  0.948
Pr  0.736  0.539  0.402
O  0.075  0.367  0.455
O  0.559  0.850  0.790
I  0.812  0.724  0.653
O  0.032  0.715  0.123
Pr  0.236  0.961  0.098
O  0.194  0.911  0.255
O  0.441  0.150  0.210
O  0.908  0.056  0.381
I  0.312  0.776  0.847
O  0.403  0.083  0.448
I  0.143  0.340  0.977
I  0.643  0.160  0.523
O  0.492  0.242  0.870
O  0.508  0.758  0.130
O  0.532  0.785  0.377
O  0.575  0.133  0.045
O  0.417  0.646  0.510
O  0.083  0.146  0.010
I  0.906  0.884  0.299
O  0.968  0.285  0.877
O  0.597  0.917  0.552

Uncorrected energy (eV for the cell shown): -284.544
Crystal system: monoclinic
Space-group type: P2_1/c (14)
Formation energy from raw total energies (eV per atom): -1.0313
Theoretical density (g cm⁻³): 5.7


Compound: RbPtI2O
Source: Alexandria via LeMat-Bulk
Functional: GGA-PBEsol
Structure: relaxed

abc: 3.840 5.854 5.854
angles: 90.00 90.00 90.00
Positions (direct):
I  0.000  0.000  0.500
Pt  0.000  0.000  0.000
I  0.000  0.500  0.000
O  0.500  0.000  0.000
Rb  0.500  0.500  0.500

Uncorrected energy (eV for the cell shown): -19.562
Crystal system: tetragonal
Space-group type: P4/mmm (123)
Formation energy from raw total energies (eV per atom): -0.5580
Theoretical density (g cm⁻³): 6.9


Compound: RbPtIO2
Source: Alexandria via LeMat-Bulk
Functional: GGA-PBEsol
Structure: relaxed

abc: 4.081 4.081 7.292
angles: 90.00 90.00 90.00
Positions (direct):
O  0.000  0.500  0.000
O  0.500  0.000  0.000
Rb  0.000  0.000  0.000
I  0.000  0.000  0.500
Pt  0.500  0.500  0.500

Uncorrected energy (eV for the cell shown): -14.593
Crystal system: tetragonal
Space-group type: P4/mmm (123)
Formation energy from raw total energies (eV per atom): 1.1323
Theoretical density (g cm⁻³): 6.0


Compound: RuPtI2O
Source: Alexandria via LeMat-Bulk
Functional: GGA-PBEsol
Structure: relaxed

abc: 3.710 5.510 5.510
angles: 90.00 90.00 90.00
Positions (direct):
O  0.500  0.000  0.000
I  0.000  0.000  0.500
I  0.000  0.500  0.000
Ru  0.500  0.500  0.500
Pt  0.000  0.000  0.000

Uncorrected energy (eV for the cell shown): -22.068
Crystal system: tetragonal
Space-group type: P4/mmm (123)
Formation energy from raw total energies (eV per atom): 0.7702
Theoretical density (g cm⁻³): 8.3


Compound: ScPtIO2
Source: Alexandria via LeMat-Bulk
Functional: GGA-PBEsol
Structure: relaxed

abc: 4.090 4.090 5.142
angles: 90.00 90.00 90.00
Positions (direct):
I  0.000  0.000  0.500
Pt  0.000  0.000  0.000
Sc  0.500  0.500  0.500
O  0.000  0.500  0.000
O  0.500  0.000  0.000

Uncorrected energy (eV for the cell shown): -26.785
Crystal system: tetragonal
Space-group type: P4/mmm (123)
Formation energy from raw total energies (eV per atom): -0.1903
Theoretical density (g cm⁻³): 7.7


Compound: TcPtIO2
Source: Alexandria via LeMat-Bulk
Functional: GGA-PBEsol
Structure: relaxed

abc: 3.793 3.793 7.140
angles: 90.00 90.00 90.00
Positions (direct):
Pt  0.000  0.000  0.000
Tc  0.500  0.500  0.500
I  0.000  0.000  0.500
O  0.000  0.500  0.000
O  0.500  0.000  0.000

Uncorrected energy (eV for the cell shown): -27.061
Crystal system: tetragonal
Space-group type: P4/mmm (123)
Formation energy from raw total energies (eV per atom): 0.6869
Theoretical density (g cm⁻³): 7.3